VASP calculation (GGA-PBE) on an optimized crystal structure of SrHf2N3.

The energy relative to the elements, uncorrected comes out at -145.16 kJ/mol of atoms. The calculation puts the electronic total energy at -111.18 eV/cell. The value obtained for the density of states at the Fermi level is 0.3152 states/eV/atom.

The space group is Immm (No. 71) and the conventional cell measures 3.585, 4.441 and 11.161 Å, with angles of 90.00, 90.00 and 90.00 degrees. Symmetry generates all atoms from Sr at (0.000, 0.000, 0.000), Hf at (0.000, 0.000, 0.314), N at (0.000, 0.000, 0.500) and N at (0.000, 0.500, 0.294).